Entry 1:
Here is crystalline NaPb4 at its relaxed geometry from the Alexandria database. Energies are from PBE-GGA.

Cell lengths 8.3861, 8.3725, 4.7988 Å; angles 73.52, 73.20, 33.28 degrees
Last column: nearest neighbours and their distance in Å.
Fractional positions:
Na1 0.0000 0.0000 0.0000  8 Pb 3.73-3.76
Pb1 0.2500 0.2500 0.2500  8 Pb 3.29-3.41
Pb2 0.3972 0.3972 0.6028  5 Pb 3.15-3.29
Pb3 0.6028 0.6028 0.3972  5 Pb 3.15-3.29
Pb4 0.7500 0.7500 0.7500  8 Pb 3.29-3.41

Results
D(E_F) = 0.529 states/eV/atom
Uncorrected energy = -16.0 eV per cell
Formation energy from the elements = 29 meV/atom
Crystal system = orthorhombic



Entry 2:
Here is crystalline NaPb at its relaxed geometry from the Alexandria database. Energies are from PBE-GGA.

Cell lengths 3.3515, 5.5938, 5.5938 Å; angles 34.84, 90.00, 90.00 degrees
Last column: nearest neighbours and their distance in Å.
Fractional positions:
Na1 0.0000 0.0000 0.0000  6 Pb 3.31-3.43, 4 Na 3.35
Pb1 0.5000 0.7325 0.7325  6 Na 3.31-3.43, 4 Pb 3.35

Results
D(E_F) = 0.543 states/eV/atom
Uncorrected energy = -5.2 eV per cell
Formation energy from the elements = -76 meV/atom
Crystal system = orthorhombic



Entry 3:
Here is crystalline NaPb at its relaxed geometry from the Alexandria database. Energies are from PBE-GGA.

Cell lengths 8.9638, 8.9638, 8.9638 Å; angles 92.04, 92.04, 158.25 degrees
Last column: nearest neighbours and their distance in Å.
Fractional positions:
Na1 0.1207 0.3410 0.4616  4 Pb 3.29-3.35, 2 Na 3.38
Na2 0.3410 0.8793 0.2203  4 Pb 3.29-3.35, 2 Na 3.38
Na3 0.6590 0.1207 0.7797  4 Pb 3.29-3.35, 2 Na 3.38
Na4 0.8793 0.6590 0.5384  4 Pb 3.29-3.35, 2 Na 3.38
Pb1 0.0751 0.8361 0.9112  4 Pb 3.17-3.38, 4 Na 3.29-3.35
Pb2 0.1639 0.0751 0.2390  4 Pb 3.17-3.38, 4 Na 3.29-3.35
Pb3 0.8361 0.9249 0.7610  4 Pb 3.17-3.38, 4 Na 3.29-3.35
Pb4 0.9249 0.1639 0.0888  4 Pb 3.17-3.38, 4 Na 3.29-3.35

Results
D(E_F) = 0.473 states/eV/atom
Uncorrected energy = -20.3 eV per cell
Formation energy from the elements = -18 meV/atom
Crystal system = tetragonal



Entry 4:
Here is crystalline Na2Pb13 at its relaxed geometry from the Alexandria database. Energies are from PBE-GGA.

Cell lengths 6.1364, 7.9474, 10.3831 Å; angles 72.05, 74.27, 83.23 degrees
Last column: nearest neighbours and their distance in Å.
Fractional positions:
Na1 0.1383 0.2970 0.4658  11 Pb 3.46-3.57, 1 Na 3.64
Na2 0.8617 0.7030 0.5342  11 Pb 3.46-3.57, 1 Na 3.64
Pb1 0.0000 0.5000 0.0000  12 Pb 3.50-3.58
Pb2 0.0599 0.9036 0.7319  2 Na 3.46-3.47, 10 Pb 3.48-3.59
Pb3 0.2047 0.7022 0.1988  10 Pb 3.47-3.56, 2 Na 3.52-3.55
Pb4 0.2643 0.0997 0.9303  12 Pb 3.48-3.58
Pb5 0.3296 0.5018 0.6669  9 Pb 3.45-3.59, 3 Na 3.50-3.54
Pb6 0.4026 0.8978 0.3996  9 Pb 3.47-3.57, 3 Na 3.47-3.57
Pb7 0.4729 0.3026 0.1348  11 Pb 3.45-3.58, 1 Na 3.48
Pb8 0.5271 0.6974 0.8652  11 Pb 3.45-3.58, 1 Na 3.48
Pb9 0.5974 0.1022 0.6004  9 Pb 3.47-3.57, 3 Na 3.47-3.57
Pb10 0.6704 0.4982 0.3331  9 Pb 3.45-3.59, 3 Na 3.50-3.54
Pb11 0.7357 0.9003 0.0697  12 Pb 3.48-3.58
Pb12 0.7953 0.2978 0.8012  10 Pb 3.47-3.56, 2 Na 3.52-3.55
Pb13 0.9401 0.0964 0.2681  2 Na 3.46-3.47, 10 Pb 3.48-3.59

Results
D(E_F) = 0.523 states/eV/atom
Uncorrected energy = -51.6 eV per cell
Formation energy from the elements = -47 meV/atom
Crystal system = triclinic



Entry 5:
Here is crystalline NaPb at its relaxed geometry from the Alexandria database. Energies are from PBE-GGA.

Cell lengths 8.6624, 8.6624, 8.6624 Å; angles 90.00, 90.00, 90.00 degrees
Last column: nearest neighbours and their distance in Å.
Fractional positions:
Na1 0.0000 0.2500 0.5000  4 Pb 3.06
Na2 0.0000 0.7500 0.5000  4 Pb 3.06
Na3 0.2500 0.5000 0.0000  4 Pb 3.06
Na4 0.5000 0.0000 0.2500  4 Pb 3.06
Na5 0.5000 0.0000 0.7500  4 Pb 3.06
Na6 0.7500 0.5000 0.0000  4 Pb 3.06
Pb1 0.0000 0.5000 0.2500  4 Na 3.06
Pb2 0.0000 0.5000 0.7500  4 Na 3.06
Pb3 0.2500 0.0000 0.5000  4 Na 3.06
Pb4 0.5000 0.2500 0.0000  4 Na 3.06
Pb5 0.5000 0.7500 0.0000  4 Na 3.06
Pb6 0.7500 0.0000 0.5000  4 Na 3.06

Results
D(E_F) = 0.983 states/eV/atom
Uncorrected energy = -22.4 eV per cell
Formation energy from the elements = 649 meV/atom
Crystal system = cubic



Entry 6:
Here is crystalline NaPb at its relaxed geometry from the Alexandria database. Energies are from PBE-GGA.

Cell lengths 10.2335, 9.1732, 5.9904 Å; angles 81.99, 62.58, 35.43 degrees
Last column: nearest neighbours and their distance in Å.
Fractional positions:
Na1 0.0301 0.7199 0.0301  3 Na 3.30-3.42, 6 Pb 3.33-3.56
Na2 0.2801 0.9699 0.2801  3 Na 3.30-3.42, 6 Pb 3.33-3.56
Na3 0.7199 0.0301 0.7199  3 Na 3.30-3.42, 6 Pb 3.33-3.56
Na4 0.9699 0.2801 0.9699  3 Na 3.30-3.42, 6 Pb 3.33-3.56
Pb1 0.2883 0.2883 0.4617  3 Pb 3.03-3.28, 2 Na 3.33
Pb2 0.4617 0.4617 0.2883  3 Pb 3.03-3.28, 2 Na 3.33
Pb3 0.5383 0.5383 0.7117  3 Pb 3.03-3.28, 2 Na 3.33
Pb4 0.7117 0.7117 0.5383  3 Pb 3.03-3.28, 2 Na 3.33

Results
D(E_F) = 0.373 states/eV/atom
Uncorrected energy = -20.7 eV per cell
Formation energy from the elements = -69 meV/atom
Crystal system = orthorhombic



Entry 7:
Here is crystalline NaPb7 at its relaxed geometry from the Alexandria database. Energies are from PBE-GGA.

Cell lengths 7.0346, 7.0346, 7.0346 Å; angles 60.00, 60.00, 60.00 degrees
Last column: nearest neighbours and their distance in Å.
Fractional positions:
Na1 0.0000 0.0000 0.0000  12 Pb 3.52
Pb1 0.0000 0.0000 0.5000  10 Pb 3.52, 2 Na 3.52
Pb2 0.0000 0.5000 0.0000  10 Pb 3.52, 2 Na 3.52
Pb3 0.0000 0.5000 0.5000  10 Pb 3.52, 2 Na 3.52
Pb4 0.5000 0.0000 0.0000  10 Pb 3.52, 2 Na 3.52
Pb5 0.5000 0.0000 0.5000  10 Pb 3.52, 2 Na 3.52
Pb6 0.5000 0.5000 0.0000  10 Pb 3.52, 2 Na 3.52
Pb7 0.5000 0.5000 0.5000  12 Pb 3.52

Results
D(E_F) = 0.634 states/eV/atom
Uncorrected energy = -27.6 eV per cell
Formation energy from the elements = -44 meV/atom
Crystal system = cubic



Entry 8:
Here is crystalline Na17Pb2 at its relaxed geometry from the Alexandria database. Energies are from PBE-GGA.

Cell lengths 9.7419, 9.7419, 9.7419 Å; angles 59.79, 59.79, 59.79 degrees
Last column: nearest neighbours and their distance in Å.
Fractional positions:
Na1 0.0000 0.0000 0.5000  6 Na 3.45-3.50
Na2 0.0000 0.3255 0.6745  5 Na 3.16-3.39, 2 Pb 3.53
Na3 0.0000 0.5000 0.0000  6 Na 3.45-3.50
Na4 0.0000 0.6745 0.3255  5 Na 3.16-3.39, 2 Pb 3.53
Na5 0.0826 0.0826 0.0826  9 Na 3.45-3.73
Na6 0.1959 0.5669 0.5669  6 Na 3.21-3.50
Na7 0.3255 0.0000 0.6745  5 Na 3.16-3.39, 2 Pb 3.53
Na8 0.3255 0.6745 0.0000  5 Na 3.16-3.39, 2 Pb 3.53
Na9 0.4331 0.4331 0.8041  6 Na 3.21-3.50
Na10 0.4331 0.8041 0.4331  6 Na 3.21-3.50
Na11 0.5000 0.0000 0.0000  6 Na 3.45-3.50
Na12 0.5669 0.1959 0.5669  6 Na 3.21-3.50
Na13 0.5669 0.5669 0.1959  6 Na 3.21-3.50
Na14 0.6745 0.0000 0.3255  5 Na 3.16-3.39, 2 Pb 3.53
Na15 0.6745 0.3255 0.0000  5 Na 3.16-3.39, 2 Pb 3.53
Na16 0.8041 0.4331 0.4331  6 Na 3.21-3.50
Na17 0.9174 0.9174 0.9174  9 Na 3.45-3.73
Pb1 0.2779 0.2779 0.2779  12 Na 3.53-3.86
Pb2 0.7221 0.7221 0.7221  12 Na 3.53-3.86

Results
D(E_F) = 0.452 states/eV/atom
Uncorrected energy = -29.2 eV per cell
Formation energy from the elements = 35 meV/atom
Crystal system = trigonal



Entry 9:
Here is crystalline NaPb4 at its relaxed geometry from the Alexandria database. Energies are from PBE-GGA.

Cell lengths 5.5471, 5.5471, 5.5471 Å; angles 90.00, 90.00, 90.00 degrees
Last column: nearest neighbours and their distance in Å.
Fractional positions:
Na1 0.0000 0.0000 0.0000  6 Pb 2.77
Pb1 0.0000 0.0000 0.5000  2 Na 2.77
Pb2 0.0000 0.5000 0.0000  2 Na 2.77
Pb3 0.5000 0.0000 0.0000  2 Na 2.77
Pb4 0.5000 0.5000 0.5000  12 Pb 3.92

Results
D(E_F) = 0.707 states/eV/atom
Uncorrected energy = -14.0 eV per cell
Formation energy from the elements = 430 meV/atom
Crystal system = cubic



Entry 10:
Here is crystalline Na3Pb7 at its relaxed geometry from the Alexandria database. Energies are from PBE-GGA.

Cell lengths 10.8856, 10.8856, 6.0523 Å; angles 90.00, 90.00, 120.00 degrees
Last column: nearest neighbours and their distance in Å.
Fractional positions:
Na1 0.2076 0.4153 0.0000  9 Pb 3.28-3.65
Na2 0.2076 0.7924 0.0000  9 Pb 3.28-3.65
Na3 0.4153 0.2076 0.5000  9 Pb 3.28-3.65
Na4 0.5847 0.7924 0.0000  9 Pb 3.28-3.65
Na5 0.7924 0.2076 0.5000  9 Pb 3.28-3.65
Na6 0.7924 0.5847 0.5000  9 Pb 3.28-3.65
Pb1 0.0474 0.5237 0.3569  3 Pb 3.12-3.16, 4 Na 3.28-3.34
Pb2 0.1064 0.2128 0.4863  4 Na 3.39-3.65, 6 Pb 3.48-3.63
Pb3 0.1064 0.8936 0.4863  4 Na 3.39-3.65, 6 Pb 3.48-3.63
Pb4 0.2128 0.1064 0.9863  4 Na 3.39-3.65, 6 Pb 3.48-3.63
Pb5 0.3333 0.6667 0.6152  3 Pb 3.12, 3 Na 3.32
Pb6 0.4763 0.5237 0.3569  3 Pb 3.12-3.16, 4 Na 3.28-3.34
Pb7 0.4763 0.9526 0.3569  3 Pb 3.12-3.16, 4 Na 3.28-3.34
Pb8 0.5237 0.0474 0.8569  3 Pb 3.12-3.16, 4 Na 3.28-3.34
Pb9 0.5237 0.4763 0.8569  3 Pb 3.12-3.16, 4 Na 3.28-3.34
Pb10 0.6667 0.3333 0.1152  3 Pb 3.12, 3 Na 3.32
Pb11 0.7872 0.8936 0.4863  4 Na 3.39-3.65, 6 Pb 3.48-3.63
Pb12 0.8936 0.1064 0.9863  4 Na 3.39-3.65, 6 Pb 3.48-3.63
Pb13 0.8936 0.7872 0.9863  4 Na 3.39-3.65, 6 Pb 3.48-3.63
Pb14 0.9526 0.4763 0.8569  3 Pb 3.12-3.16, 4 Na 3.28-3.34

Results
D(E_F) = 0.662 states/eV/atom
Uncorrected energy = -60.1 eV per cell
Formation energy from the elements = -16 meV/atom
Crystal system = hexagonal



Entry 11:
Here is crystalline Na3Pb7 at its relaxed geometry from the Alexandria database. Energies are from PBE-GGA.

Cell lengths 9.0860, 9.0860, 7.0585 Å; angles 99.86, 99.86, 31.32 degrees
Last column: nearest neighbours and their distance in Å.
Fractional positions:
Na1 0.0000 0.0000 0.0000  12 Pb 3.39-3.53
Na2 0.1970 0.1970 0.6037  10 Pb 3.39-3.56, 2 Na 3.54
Na3 0.8030 0.8030 0.3963  10 Pb 3.39-3.56, 2 Na 3.54
Pb1 0.0000 0.0000 0.5000  4 Na 3.39-3.53, 8 Pb 3.48-3.52
Pb2 0.1970 0.1970 0.0988  5 Na 3.39-3.56, 7 Pb 3.41-3.53
Pb3 0.3995 0.3995 0.7051  7 Pb 3.41-3.63, 5 Na 3.48-3.51
Pb4 0.4020 0.4020 0.1920  4 Na 3.41-3.46, 8 Pb 3.42-3.63
Pb5 0.5980 0.5980 0.8080  4 Na 3.41-3.46, 8 Pb 3.42-3.63
Pb6 0.6005 0.6005 0.2949  7 Pb 3.41-3.63, 5 Na 3.48-3.51
Pb7 0.8030 0.8030 0.9012  5 Na 3.39-3.56, 7 Pb 3.41-3.53

Results
D(E_F) = 0.444 states/eV/atom
Uncorrected energy = -31.1 eV per cell
Formation energy from the elements = -115 meV/atom
Crystal system = monoclinic



Entry 12:
Here is crystalline NaPb5 at its relaxed geometry from the Alexandria database. Energies are from PBE-GGA.

Cell lengths 6.1366, 6.1366, 7.1073 Å; angles 107.66, 107.66, 46.76 degrees
Last column: nearest neighbours and their distance in Å.
Fractional positions:
Na1 0.0000 0.0000 0.0000  12 Pb 3.49-3.55
Pb1 0.0000 0.0000 0.5000  10 Pb 3.49-3.54, 2 Na 3.55
Pb2 0.3302 0.3302 0.6671  10 Pb 3.46-3.58, 2 Na 3.49
Pb3 0.3330 0.3330 0.1646  9 Pb 3.47-3.58, 3 Na 3.51-3.54
Pb4 0.6670 0.6670 0.8354  9 Pb 3.47-3.58, 3 Na 3.51-3.54
Pb5 0.6698 0.6698 0.3329  10 Pb 3.46-3.58, 2 Na 3.49

Results
D(E_F) = 0.254 states/eV/atom
Uncorrected energy = -20.3 eV per cell
Formation energy from the elements = -73 meV/atom
Crystal system = monoclinic